Here is a geometry-optimized Ac6Ti3O14 structure from the Alexandria database. Energies are from PBE-GGA.

The structure belongs to space group P3 (No. 143); the cell edges are 9.1633, 9.1633 and 5.1281 Å and the angles 90.00°, 90.00° and 120.00°. The inequivalent atoms are Ac at (0.0215, 0.4416, 0.0000), Ac at (0.3074, 0.2265, 0.4890), Ti at (0.0000, 0.0000, 0.0436), Ti at (0.3333, 0.6667, 0.5600), Ti at (0.6667, 0.3333, 0.7224), O at (0.0000, 0.0000, 0.6866), O at (0.0598, 0.2042, 0.1913), O at (0.1926, 0.7327, 0.7043), O at (0.3333, 0.6667, 0.2033), O at (0.4379, 0.2625, 0.9460) and O at (0.5051, 0.1049, 0.5026).

The total DFT energy (no corrections) is -8.321 eV per atom. Its density of states at the Fermi level is 3.285 states/eV/f.u. The uncorrected formation energy is -3.2019 eV/atom.